(1)
Here is crystalline MgZrCo3 at its relaxed geometry from Alexandria. Energies are from PBE.

Cell and atoms, written as POSCAR:
```
MgZrCo3
1.0
4.253 0.000 0.000
0.000 4.253 0.000
0.000 0.000 4.253
Mg Zr Co
1 1 3
direct
0.000 0.000 0.000 Mg
0.500 0.500 0.500 Zr
0.000 0.000 0.500 Co
0.000 0.500 0.000 Co
0.500 0.000 0.000 Co
```

formation energy: 0.890 eV per atom
volume: 77 Å³/f.u.
distance to the lowest polymorph of the same formula: 0.0 meV per atom
crystal system: cubic
total magnetization: 0.982 μB per formula unit

(2)
Here is crystalline MgZrCo at its relaxed geometry from Alexandria. Energies are from PBE.

Cell and atoms, written as POSCAR:
```
MgZrCo
1.0
6.104 0.000 0.000
-3.052 5.286 0.000
0.000 0.000 10.932
Mg Zr Co
6 6 6
direct
0.000 0.000 0.000 Mg
0.000 0.000 0.333 Mg
0.000 0.000 0.667 Mg
0.000 0.500 0.167 Mg
0.500 0.000 0.500 Mg
0.500 0.500 0.833 Mg
0.000 0.500 0.449 Zr
0.000 0.500 0.884 Zr
0.500 0.000 0.217 Zr
0.500 0.000 0.783 Zr
0.500 0.500 0.116 Zr
0.500 0.500 0.551 Zr
0.213 0.607 0.667 Co
0.393 0.607 0.333 Co
0.393 0.787 0.000 Co
0.607 0.213 0.000 Co
0.607 0.393 0.333 Co
0.787 0.393 0.667 Co
```

formation energy: 0.034 eV per atom
volume: 59 Å³/f.u.
distance to the lowest polymorph of the same formula: 232.8 meV per atom
crystal system: hexagonal
total magnetization: 0.000 μB per formula unit

(3)
Here is crystalline MgZrCo at its relaxed geometry from Alexandria. Energies are from PBE.

Cell and atoms, written as POSCAR:
```
MgZrCo
1.0
-1.573 1.573 5.486
1.573 -1.573 5.486
1.573 1.573 -5.486
Mg Zr Co
1 1 1
direct
0.000 0.000 0.000 Mg
0.722 0.722 0.000 Zr
0.350 0.350 0.000 Co
```

formation energy: -0.065 eV per atom
volume: 54 Å³/f.u.
distance to the lowest polymorph of the same formula: 134.0 meV per atom
crystal system: tetragonal
total magnetization: 0.689 μB per formula unit

(4)
Here is crystalline Mg2ZrCo at its relaxed geometry from Alexandria. Energies are from PBE.

Cell and atoms, written as POSCAR:
```
Mg2ZrCo
1.0
0.000 3.283 3.283
3.283 0.000 3.283
3.283 3.283 0.000
Mg Zr Co
2 1 1
direct
0.250 0.250 0.250 Mg
0.750 0.750 0.750 Mg
0.000 0.000 0.000 Zr
0.500 0.500 0.500 Co
```

formation energy: 0.285 eV per atom
volume: 71 Å³/f.u.
crystal system: cubic
total magnetization: 0.597 μB per formula unit

(5)
Here is crystalline Mg2ZrCo at its relaxed geometry from Alexandria. Energies are from PBE.

Cell and atoms, written as POSCAR:
```
Mg2ZrCo
1.0
2.903 0.000 0.000
0.000 4.420 0.000
0.000 0.000 5.587
Mg Zr Co
2 1 1
direct
0.000 0.000 0.231 Mg
0.000 0.000 0.769 Mg
0.500 0.500 0.500 Zr
0.500 0.500 0.000 Co
```

formation energy: 0.210 eV per atom
volume: 72 Å³/f.u.
crystal system: orthorhombic
total magnetization: 0.240 μB per formula unit

(6)
Here is crystalline Mg2ZrCo at its relaxed geometry from Alexandria. Energies are from PBE.

Cell and atoms, written as POSCAR:
```
Mg2ZrCo
1.0
-1.680 2.460 4.540
1.680 -2.460 4.540
1.680 2.460 -4.540
Mg Zr Co
2 1 1
direct
0.000 0.000 0.000 Mg
0.714 0.214 0.500 Mg
0.294 0.794 0.500 Zr
0.491 0.491 0.000 Co
```

formation energy: 0.053 eV per atom
volume: 75 Å³/f.u.
crystal system: orthorhombic
total magnetization: 0.000 μB per formula unit

| no. | DOS(E_F) (states/eV/f.u.) |
| --- | --- |
| 1 | 3.1 |
| 2 | 2.6 |
| 3 | 2.7 |
| 4 | 4.2 |
| 5 | 3.9 |
| 6 | 3.3 |